# YZn2Co2 (meta-GGA SCAN, single point on PBEsol structure)
# Magnetic moment = 1.7 μB/f.u.
# E_tot = -89.98 eV/cell
# ρ = 7.376 g/cm3
data_YZn2Co2
_space_group_name_H-M_alt 'P 1'
_space_group_IT_number 1
_cell_length_a 5.720
_cell_length_b 5.720
_cell_length_c 5.720
_cell_angle_alpha 140.21
_cell_angle_beta 140.21
_cell_angle_gamma 57.54
loop_
_space_group_symop_operation_xyz
'x,y,z'
loop_
_atom_site_label
_atom_site_type_symbol
_atom_site_fract_x
_atom_site_fract_y
_atom_site_fract_z
Y1 Y 0.000 0.000 0.000
Zn1 Zn 0.250 0.750 0.500
Zn2 Zn 0.750 0.250 0.500
Co1 Co 0.393 0.393 0.000
Co2 Co 0.607 0.607 0.000


# Y2ZnCo (meta-GGA SCAN, single point on PBEsol structure)
# Magnetic moment = 0.8 μB/f.u.
# E_tot = -87.86 eV/cell
# ρ = 6.375 g/cm3
data_Y2ZnCo
_space_group_name_H-M_alt 'P 1'
_space_group_IT_number 1
_cell_length_a 3.380
_cell_length_b 3.380
_cell_length_c 6.891
_cell_angle_alpha 90.00
_cell_angle_beta 90.00
_cell_angle_gamma 90.00
loop_
_space_group_symop_operation_xyz
'x,y,z'
loop_
_atom_site_label
_atom_site_type_symbol
_atom_site_fract_x
_atom_site_fract_y
_atom_site_fract_z
Y1 Y 0.000 0.000 0.231
Y2 Y 0.000 0.000 0.769
Zn1 Zn 0.500 0.500 0.500
Co1 Co 0.500 0.500 0.000